Record 1
Compound: SmAl2GaNi4
Source: Alexandria
Functional: GGA-PBE
Structure: relaxed

```
data_SmAl2GaNi4
_cell_length_a 4.0742
_cell_length_b 4.0742
_cell_length_c 25.0188
_cell_angle_alpha 90.00
_cell_angle_beta 90.00
_cell_angle_gamma 120.00
_space_group_name_H-M_alt 'R -3 m'
_space_group_IT_number 166
_space_group_name_Hall '-R 3 2"'
loop_
_atom_site_label
_atom_site_type_symbol
_atom_site_fract_x
_atom_site_fract_y
_atom_site_fract_z
_atom_site_occupancy
Sm1 Sm 0.0000 0.0000 0.0000 1
Al1 Al 0.0000 0.0000 0.2386 1
Ga1 Ga 0.0000 0.0000 0.5000 1
Ni1 Ni 0.0000 0.0000 0.1332 1
Ni2 Ni 0.0000 0.0000 0.4059 1
```

Properties
- Density: 7.05 g/cm3
- V: 360 Å³/cell
- Total magnetic moment: 0.00 Bohr magnetons per cell
- Raw total energy: -5.294 eV/atom

=====

Record 2
Compound: NbNiB
Source: Alexandria
Functional: GGA-PBE
Structure: relaxed

```
data_NbNiB
_cell_length_a 3.501
_cell_length_b 6.234
_cell_length_c 6.354
_cell_angle_alpha 90.00
_cell_angle_beta 90.00
_cell_angle_gamma 90.00
_space_group_name_H-M_alt 'I m m 2'
_space_group_IT_number 44
loop_
_space_group_symop_operation_xyz
'x,y,z'
'-x,-y,z'
'-x,y,z'
'x,-y,z'
'x+1/2,y+1/2,z+1/2'
'-x+1/2,-y+1/2,z+1/2'
'-x+1/2,y+1/2,z+1/2'
'x+1/2,-y+1/2,z+1/2'
loop_
_atom_site_label
_atom_site_type_symbol
_atom_site_fract_x
_atom_site_fract_y
_atom_site_fract_z
_atom_site_occupancy
Nb1 Nb 0.000 0.000 0.000 1
Nb2 Nb 0.000 0.500 0.078 1
Ni1 Ni 0.000 0.298 0.715 1
B1 B 0.000 0.241 0.386 1
```

Properties
- Density: 7.78 g/cm3
- V: 139 Å³/cell
- Total magnetic moment: 0.00 Bohr magnetons per cell
- Raw total energy: -7.869 eV/atom

=====

Record 3
Compound: NpTe2Cl5
Source: Alexandria
Functional: GGA-PBE
Structure: relaxed

```
data_NpTe2Cl5
_cell_length_a 5.458
_cell_length_b 8.344
_cell_length_c 8.364
_cell_angle_alpha 83.65
_cell_angle_beta 70.97
_cell_angle_gamma 70.91
_space_group_name_H-M_alt 'P 1'
_space_group_IT_number 1
loop_
_space_group_symop_operation_xyz
'x,y,z'
loop_
_atom_site_label
_atom_site_type_symbol
_atom_site_fract_x
_atom_site_fract_y
_atom_site_fract_z
_atom_site_occupancy
Np1 Np 0.000 0.000 0.000 1
Te1 Te 0.259 0.501 0.500 1
Te2 Te 0.759 0.501 0.500 1
Cl1 Cl 0.157 0.001 0.684 1
Cl2 Cl 0.158 0.683 0.000 1
Cl3 Cl 0.500 0.000 0.000 1
Cl4 Cl 0.842 0.317 0.000 1
Cl5 Cl 0.843 0.999 0.316 1
```

Properties
- Density: 3.27 g/cm3
- V: 340 Å³/cell
- Total magnetic moment: 2.55 Bohr magnetons per cell
- Raw total energy: -4.504 eV/atom
- E_form (uncorrected): -0.947 eV/atom

=====

Record 4
Compound: KGa3Sn
Source: Alexandria
Functional: GGA-PBE
Structure: relaxed

```
data_KGa3Sn
_cell_length_a 11.933
_cell_length_b 6.703
_cell_length_c 6.497
_cell_angle_alpha 90.00
_cell_angle_beta 90.00
_cell_angle_gamma 90.00
_space_group_name_H-M_alt 'P n n a'
_space_group_IT_number 52
loop_
_space_group_symop_operation_xyz
'x,y,z'
'-x,-y,-z'
'-x+1/2,-y,z'
'x+1/2,y,-z'
'x,-y+1/2,-z+1/2'
'-x,y+1/2,z+1/2'
'-x+1/2,y+1/2,-z+1/2'
'x+1/2,-y+1/2,z+1/2'
loop_
_atom_site_label
_atom_site_type_symbol
_atom_site_fract_x
_atom_site_fract_y
_atom_site_fract_z
_atom_site_occupancy
K1 K 0.250 0.000 0.000 1
Ga1 Ga 0.000 0.250 0.250 1
Ga2 Ga 0.138 0.000 0.499 1
Sn1 Sn 0.000 0.250 0.750 1
```

Properties
- Density: 4.69 g/cm3
- V: 520 Å³/cell
- Total magnetic moment: 0.00 Bohr magnetons per cell
- Raw total energy: -2.924 eV/atom

=====

Record 5
Compound: Np2ZnS4
Source: Alexandria
Functional: GGA-PBE
Structure: relaxed

```
data_Np2ZnS4
_cell_length_a 7.810
_cell_length_b 7.810
_cell_length_c 11.037
_cell_angle_alpha 90.00
_cell_angle_beta 90.00
_cell_angle_gamma 90.00
_space_group_name_H-M_alt 'I 41/a m d'
_space_group_IT_number 141
loop_
_space_group_symop_operation_xyz
'x,y,z'
'-x,-y,-z'
'-y+1/4,x+3/4,z+1/4'
'y+1/4,-x+3/4,-z+1/4'
'-x+1/2,-y,z+1/2'
'x+1/2,y,-z+1/2'
'y+1/4,-x+1/4,z+3/4'
'-y+1/4,x+1/4,-z+3/4'
'x,-y,-z'
'-x,y,z'
'-y+1/4,-x+1/4,-z+3/4'
'y+1/4,x+1/4,z+3/4'
'-x+1/2,y,-z+1/2'
'x+1/2,-y,z+1/2'
'y+1/4,x+3/4,-z+1/4'
'-y+1/4,-x+3/4,z+1/4'
'x+1/2,y+1/2,z+1/2'
'-x+1/2,-y+1/2,-z+1/2'
'-y+3/4,x+1/4,z+3/4'
'y+3/4,-x+1/4,-z+3/4'
'-x,-y+1/2,z'
'x,y+1/2,-z'
'y+3/4,-x+3/4,z+1/4'
'-y+3/4,x+3/4,-z+1/4'
'x+1/2,-y+1/2,-z+1/2'
'-x+1/2,y+1/2,z+1/2'
'-y+3/4,-x+3/4,-z+1/4'
'y+3/4,x+3/4,z+1/4'
'-x,y+1/2,-z'
'x,-y+1/2,z'
'y+3/4,x+1/4,-z+3/4'
'-y+3/4,-x+1/4,z+3/4'
loop_
_atom_site_label
_atom_site_type_symbol
_atom_site_fract_x
_atom_site_fract_y
_atom_site_fract_z
_atom_site_occupancy
Np1 Np 0.000 0.000 0.000 1
Zn1 Zn 0.000 0.250 0.375 1
S1 S 0.000 0.002 0.751 1
```

Properties
- Density: 6.59 g/cm3
- V: 673 Å³/cell
- Total magnetic moment: 31.40 Bohr magnetons per cell
- Raw total energy: -7.364 eV/atom
- E_form (uncorrected): -1.126 eV/atom

=====

Record 6
Compound: SrTcSeN2
Source: Alexandria
Functional: GGA-PBE
Structure: relaxed

```
data_SrTcSeN2
_cell_length_a 4.009
_cell_length_b 4.009
_cell_length_c 5.357
_cell_angle_alpha 90.00
_cell_angle_beta 90.00
_cell_angle_gamma 90.00
_space_group_name_H-M_alt 'P 4/m m m'
_space_group_IT_number 123
_space_group_name_Hall '-P 4 2'
loop_
_atom_site_label
_atom_site_type_symbol
_atom_site_fract_x
_atom_site_fract_y
_atom_site_fract_z
_atom_site_occupancy
Sr1 Sr 0.000 0.000 0.000 1
Tc1 Tc 0.500 0.500 0.500 1
Se1 Se 0.500 0.500 0.000 1
N1 N 0.000 0.500 0.500 1
```

Properties
- Density: 5.64 g/cm3
- V: 86 Å³/cell
- Total magnetic moment: 0.33 Bohr magnetons per cell
- Raw total energy: -6.615 eV/atom
- E_form (uncorrected): -0.178 eV/atom

=====

Record 7
Compound: AcZnAu3
Source: Alexandria
Functional: GGA-PBE
Structure: relaxed

```
data_AcZnAu3
_cell_length_a 9.203
_cell_length_b 5.193
_cell_length_c 9.461
_cell_angle_alpha 90.00
_cell_angle_beta 90.00
_cell_angle_gamma 90.00
_space_group_name_H-M_alt 'P n m a'
_space_group_IT_number 62
loop_
_space_group_symop_operation_xyz
'x,y,z'
'-x,-y,-z'
'-x+1/2,-y,z+1/2'
'x+1/2,y,-z+1/2'
'x+1/2,-y+1/2,-z+1/2'
'-x+1/2,y+1/2,z+1/2'
'-x,y+1/2,-z'
'x,-y+1/2,z'
loop_
_atom_site_label
_atom_site_type_symbol
_atom_site_fract_x
_atom_site_fract_y
_atom_site_fract_z
_atom_site_occupancy
Ac1 Ac 0.234 0.250 0.002 1
Zn1 Zn 0.093 0.250 0.659 1
Au1 Au 0.081 0.250 0.383 1
Au2 Au 0.104 0.750 0.845 1
Au3 Au 0.117 0.750 0.165 1
```

Properties
- Density: 12.98 g/cm3
- V: 452 Å³/cell
- Total magnetic moment: 0.00 Bohr magnetons per cell
- Raw total energy: -3.618 eV/atom

=====

Record 8
Compound: KErMgS3
Source: Alexandria
Functional: GGA-PBE
Structure: relaxed

```
data_KErMgS3
_cell_length_a 8.654
_cell_length_b 4.086
_cell_length_c 9.809
_cell_angle_alpha 90.00
_cell_angle_beta 107.72
_cell_angle_gamma 90.00
_space_group_name_H-M_alt 'P 1 21/m 1'
_space_group_IT_number 11
loop_
_space_group_symop_operation_xyz
'x,y,z'
'-x,-y,-z'
'-x,y+1/2,-z'
'x,-y+1/2,z'
loop_
_atom_site_label
_atom_site_type_symbol
_atom_site_fract_x
_atom_site_fract_y
_atom_site_fract_z
_atom_site_occupancy
K1 K 0.205 0.250 0.215 1
Er1 Er 0.334 0.750 0.865 1
Mg1 Mg 0.086 0.250 0.610 1
S1 S 0.118 0.250 0.861 1
S2 S 0.203 0.750 0.548 1
S3 S 0.462 0.750 0.148 1
```

Properties
- Density: 3.29 g/cm3
- V: 330 Å³/cell
- Total magnetic moment: 0.00 Bohr magnetons per cell
- Raw total energy: -4.942 eV/atom
- E_form (uncorrected): -1.669 eV/atom

=====

Record 9
Compound: Dy3HfPa2N6
Source: Alexandria
Functional: GGA-PBE
Structure: relaxed

```
data_Dy3HfPa2N6
_cell_length_a 5.952
_cell_length_b 10.312
_cell_length_c 5.953
_cell_angle_alpha 90.00
_cell_angle_beta 109.30
_cell_angle_gamma 90.00
_space_group_name_H-M_alt 'C 1 2/m 1'
_space_group_IT_number 12
loop_
_space_group_symop_operation_xyz
'x,y,z'
'-x,-y,-z'
'-x,y,-z'
'x,-y,z'
'x+1/2,y+1/2,z'
'-x+1/2,-y+1/2,-z'
'-x+1/2,y+1/2,-z'
'x+1/2,-y+1/2,z'
loop_
_atom_site_label
_atom_site_type_symbol
_atom_site_fract_x
_atom_site_fract_y
_atom_site_fract_z
_atom_site_occupancy
Dy1 Dy 0.000 0.000 0.000 1
Dy2 Dy 0.000 0.335 0.000 1
Hf1 Hf 0.000 0.500 0.500 1
Pa1 Pa 0.000 0.166 0.500 1
N1 N 0.240 0.336 0.730 1
N2 N 0.247 0.500 0.264 1
```

Properties
- Density: 11.67 g/cm3
- V: 345 Å³/cell
- Total magnetic moment: 0.00 Bohr magnetons per cell
- Raw total energy: -9.417 eV/atom
- E_form (uncorrected): -1.691 eV/atom

=====

Record 10
Compound: Sr12Bi3N5
Source: Alexandria
Functional: GGA-PBE
Structure: relaxed

```
data_Sr12Bi3N5
_cell_length_a 17.146
_cell_length_b 17.146
_cell_length_c 17.146
_cell_angle_alpha 90.00
_cell_angle_beta 90.00
_cell_angle_gamma 90.00
_space_group_name_H-M_alt 'I a -3 d'
_space_group_IT_number 230
_space_group_name_Hall '-I 4bd 2c 3'
loop_
_atom_site_label
_atom_site_type_symbol
_atom_site_fract_x
_atom_site_fract_y
_atom_site_fract_z
_atom_site_occupancy
Sr1 Sr 0.035 0.048 0.649 1
Bi1 Bi 0.000 0.250 0.125 1
N1 N 0.000 0.000 0.000 1
N2 N 0.000 0.250 0.375 1
```

Properties
- Density: 4.61 g/cm3
- V: 5041 Å³/cell
- Total magnetic moment: 0.00 Bohr magnetons per cell
- Raw total energy: -4.322 eV/atom
- E_form (uncorrected): -0.649 eV/atom

=====

Record 11
Compound: BaInTe2
Source: Alexandria
Functional: GGA-PBE
Structure: relaxed

```
data_BaInTe2
_cell_length_a 8.643
_cell_length_b 9.932
_cell_length_c 8.675
_cell_angle_alpha 90.00
_cell_angle_beta 112.23
_cell_angle_gamma 90.00
_space_group_name_H-M_alt 'P 1 21/c 1'
_space_group_IT_number 14
loop_
_space_group_symop_operation_xyz
'x,y,z'
'-x,-y,-z'
'-x,y+1/2,-z+1/2'
'x,-y+1/2,z+1/2'
loop_
_atom_site_label
_atom_site_type_symbol
_atom_site_fract_x
_atom_site_fract_y
_atom_site_fract_z
_atom_site_occupancy
Ba1 Ba 0.244 0.125 0.494 1
In1 In 0.294 0.685 0.639 1
Te1 Te 0.058 0.690 0.828 1
Te2 Te 0.461 0.093 0.222 1
```

Properties
- Density: 4.89 g/cm3
- V: 689 Å³/cell
- Total magnetic moment: 0.00 Bohr magnetons per cell
- Raw total energy: -3.710 eV/atom
- E_form (uncorrected): -0.974 eV/atom

=====

Record 12
Compound: CePu2PaAs4
Source: Alexandria
Functional: GGA-PBE
Structure: relaxed

```
data_CePu2PaAs4
_cell_length_a 5.855
_cell_length_b 5.855
_cell_length_c 11.743
_cell_angle_alpha 90.00
_cell_angle_beta 90.00
_cell_angle_gamma 90.00
_space_group_name_H-M_alt 'I -4 m 2'
_space_group_IT_number 119
_space_group_name_Hall 'I -4 -2'
loop_
_atom_site_label
_atom_site_type_symbol
_atom_site_fract_x
_atom_site_fract_y
_atom_site_fract_z
_atom_site_occupancy
Ce1 Ce 0.000 0.000 0.000 1
Pu1 Pu 0.000 0.000 0.500 1
Pu2 Pu 0.000 0.500 0.250 1
Pa1 Pa 0.000 0.500 0.750 1
As1 As 0.000 0.000 0.251 1
As2 As 0.000 0.500 0.504 1
```

Properties
- Density: 9.56 g/cm3
- V: 403 Å³/cell
- Total magnetic moment: 0.52 Bohr magnetons per cell
- Raw total energy: -8.973 eV/atom

=====

Record 13
Compound: LuScMo
Source: Alexandria
Functional: GGA-PBE
Structure: relaxed

```
data_LuScMo
_cell_length_a 3.423
_cell_length_b 3.423
_cell_length_c 11.425
_cell_angle_alpha 90.00
_cell_angle_beta 90.00
_cell_angle_gamma 90.00
_space_group_name_H-M_alt 'I 4 m m'
_space_group_IT_number 107
_space_group_name_Hall 'I 4 -2'
loop_
_atom_site_label
_atom_site_type_symbol
_atom_site_fract_x
_atom_site_fract_y
_atom_site_fract_z
_atom_site_occupancy
Lu1 Lu 0.000 0.000 0.000 1
Sc1 Sc 0.000 0.000 0.278 1
Mo1 Mo 0.000 0.000 0.651 1
```

Properties
- Density: 7.84 g/cm3
- V: 134 Å³/cell
- Total magnetic moment: 0.00 Bohr magnetons per cell
- Raw total energy: -7.049 eV/atom

=====

Record 14
Compound: Mn2TeMo
Source: Alexandria
Functional: GGA-PBE
Structure: relaxed

```
data_Mn2TeMo
_cell_length_a 6.209
_cell_length_b 6.209
_cell_length_c 6.209
_cell_angle_alpha 90.00
_cell_angle_beta 90.00
_cell_angle_gamma 90.00
_space_group_name_H-M_alt 'F -4 3 m'
_space_group_IT_number 216
_space_group_name_Hall 'F -4 2 3'
loop_
_atom_site_label
_atom_site_type_symbol
_atom_site_fract_x
_atom_site_fract_y
_atom_site_fract_z
_atom_site_occupancy
Mn1 Mn 0.000 0.000 0.000 1
Mn2 Mn 0.250 0.250 0.250 1
Te1 Te 0.250 0.250 0.750 1
Mo1 Mo 0.000 0.000 0.500 1
```

Properties
- Density: 9.25 g/cm3
- V: 239 Å³/cell
- Total magnetic moment: 7.81 Bohr magnetons per cell
- Raw total energy: -7.760 eV/atom
- E_form (uncorrected): 0.318 eV/atom

=====

Record 15
Compound: Rb5CuBrO2
Source: Alexandria
Functional: GGA-PBE
Structure: relaxed

```
data_Rb5CuBrO2
_cell_length_a 5.765
_cell_length_b 5.765
_cell_length_c 9.233
_cell_angle_alpha 90.00
_cell_angle_beta 90.00
_cell_angle_gamma 90.00
_space_group_name_H-M_alt 'P 4/m m m'
_space_group_IT_number 123
_space_group_name_Hall '-P 4 2'
loop_
_atom_site_label
_atom_site_type_symbol
_atom_site_fract_x
_atom_site_fract_y
_atom_site_fract_z
_atom_site_occupancy
Rb1 Rb 0.000 0.000 0.000 1
Rb2 Rb 0.000 0.500 0.289 1
Cu1 Cu 0.000 0.000 0.500 1
Br1 Br 0.500 0.500 0.000 1
O1 O 0.000 0.000 0.301 1
```

Properties
- Density: 3.26 g/cm3
- V: 307 Å³/cell
- Total magnetic moment: 0.58 Bohr magnetons per cell
- Raw total energy: -3.302 eV/atom
- E_form (uncorrected): -1.021 eV/atom

=====

Record 16
Compound: LiHfBiSb2
Source: Alexandria
Functional: GGA-PBE
Structure: relaxed

```
data_LiHfBiSb2
_cell_length_a 5.967
_cell_length_b 5.967
_cell_length_c 5.472
_cell_angle_alpha 90.00
_cell_angle_beta 90.00
_cell_angle_gamma 90.00
_space_group_name_H-M_alt 'P 4/m m m'
_space_group_IT_number 123
_space_group_name_Hall '-P 4 2'
loop_
_atom_site_label
_atom_site_type_symbol
_atom_site_fract_x
_atom_site_fract_y
_atom_site_fract_z
_atom_site_occupancy
Li1 Li 0.000 0.000 0.000 1
Hf1 Hf 0.500 0.500 0.000 1
Bi1 Bi 0.500 0.500 0.500 1
Sb1 Sb 0.000 0.500 0.500 1
```

Properties
- Density: 5.44 g/cm3
- V: 195 Å³/cell
- Total magnetic moment: 0.00 Bohr magnetons per cell
- Raw total energy: -3.841 eV/atom
- E_form (uncorrected): 0.958 eV/atom

=====

Record 17
Compound: Mn2TlAu
Source: Alexandria
Functional: GGA-PBE
Structure: relaxed

```
data_Mn2TlAu
_cell_length_a 3.0387
_cell_length_b 3.0387
_cell_length_c 27.6856
_cell_angle_alpha 90.00
_cell_angle_beta 90.00
_cell_angle_gamma 120.00
_space_group_name_H-M_alt 'R 3 m'
_space_group_IT_number 160
_space_group_name_Hall 'R 3 -2"'
loop_
_atom_site_label
_atom_site_type_symbol
_atom_site_fract_x
_atom_site_fract_y
_atom_site_fract_z
_atom_site_occupancy
Mn1 Mn 0.0000 0.0000 0.0000 1
Mn2 Mn 0.0000 0.0000 0.2598 1
Tl1 Tl 0.0000 0.0000 0.7530 1
Au1 Au 0.0000 0.0000 0.5165 1
```

Properties
- Density: 11.50 g/cm3
- V: 221 Å³/cell
- Total magnetic moment: 20.76 Bohr magnetons per cell
- Raw total energy: -5.558 eV/atom

=====

Record 18
Compound: Y2Co5Si2Ge
Source: Alexandria
Functional: GGA-PBE
Structure: relaxed

```
data_Y2Co5Si2Ge
_cell_length_a 9.364
_cell_length_b 9.364
_cell_length_c 3.293
_cell_angle_alpha 90.00
_cell_angle_beta 90.00
_cell_angle_gamma 90.00
_space_group_name_H-M_alt 'P 4/m b m'
_space_group_IT_number 127
_space_group_name_Hall '-P 4 2ab'
loop_
_atom_site_label
_atom_site_type_symbol
_atom_site_fract_x
_atom_site_fract_y
_atom_site_fract_z
_atom_site_occupancy
Y1 Y 0.178 0.322 0.000 1
Co1 Co 0.000 0.500 0.500 1
Co2 Co 0.064 0.785 0.500 1
Si1 Si 0.119 0.619 0.000 1
Ge1 Ge 0.000 0.000 0.000 1
```

Properties
- Density: 6.92 g/cm3
- V: 289 Å³/cell
- Total magnetic moment: 0.00 Bohr magnetons per cell
- Raw total energy: -6.801 eV/atom
- E_form (uncorrected): -0.409 eV/atom